Cu2WBr: relaxed, PBE-GGA.

Unit cell a=2.895 b=2.795 c=8.222 alpha=90.20 beta=90.00 gamma=90.00
Element x y z (fractional)
Br1 0.500 0.750 0.750
Cu1 0.000 0.747 0.029
Cu2 0.000 0.753 0.471
W1 0.500 0.250 0.250

Computed properties:
Formation energy without anion corrections, eV per atom: 0.528
Energy above the lowest structure with this stoichiometry, eV/atom: 0.0000
N(E_F), states/eV/f.u.: 3.562